# AlPt2Rh

A relaxed structure of AlPt2Rh (GGA-PBE, Alexandria via LeMat-Bulk).

Properties
The size of the total moment comes out at 0.000 μB per atom. The formation energy comes out at -0.655 eV/atom. The value obtained for the total energy is -6.45 eV/atom.

a = 7.5275 Å, b = 7.6646 Å, c = 8.1814 Å
α = 90.00°, β = 90.00°, γ = 90.00°
Closest atoms and distances in Å follow each position.
Space group Fmmm (No. 69)
Asymmetric unit:
Al: 0.0000 0.0000 0.2499  2 Rh 2.50, 6 Pt 2.53-2.69
Pt: 0.0000 0.1947 0.0000  2 Al 2.53, 4 Rh 2.75-2.76, 4 Pt 2.81
Pt: 0.2500 0.2500 0.2500  4 Al 2.69, 4 Pt 2.81, 4 Rh 2.84
Rh: 0.1913 0.0000 0.5000  2 Al 2.50, 4 Pt 2.75-2.76


# BaLa2InPd

A relaxed structure of BaLa2InPd (GGA-PBE, Alexandria via LeMat-Bulk).

Properties
The size of the total moment comes out at 0.000 μB per atom. The formation energy comes out at 1.066 eV/atom. The value obtained for the total energy is -2.88 eV/atom.

a = 5.8494 Å, b = 5.8494 Å, c = 5.8037 Å
α = 90.00°, β = 90.00°, γ = 90.00°
Closest atoms and distances in Å follow each position.
Space group P4/mmm (No. 123)
Asymmetric unit:
Ba: 0.0000 0.0000 0.0000  2 In 2.90, 4 La 2.92
La: 0.0000 0.5000 0.0000  2 Ba 2.92
In: 0.0000 0.0000 0.5000  2 Ba 2.90
Pd: 0.5000 0.5000 0.5000  8 La 4.12, 4 In 4.14


# Tb2NdNpN4

A relaxed structure of Tb2NdNpN4 (GGA-PBE, Alexandria via LeMat-Bulk).

Properties
The size of the total moment comes out at 0.493 μB per atom. Its uncorrected formation energy is -1.195 eV/atom. The value obtained for the total energy is -8.73 eV/atom.

a = 3.4345 Å, b = 13.1672 Å, c = 11.0271 Å
α = 90.00°, β = 90.00°, γ = 90.00°
Closest atoms and distances in Å follow each position.
Space group Cmcm (No. 63)
Asymmetric unit:
Tb: 0.0000 0.1278 0.0134  6 N 2.41-2.70
Nd: 0.0000 0.2684 0.7500  6 N 2.45-2.68
Np: 0.0000 0.4642 0.2500  2 N 2.26
N: 0.0000 0.0757 0.2500  2 Np 2.26
N: 0.0000 0.2988 0.1128  3 Tb 2.41-2.50, 2 Nd 2.45, 1 Np 2.65
N: 0.0000 0.5000 0.0000  4 Tb 2.41